1.
{"formula": "La2Sm2Tm7", "functional": "GGA-PBE", "state": "relaxed", "formation_energy_kj_per_mol_atoms": 15, "e_above_lowest_polymorph_ev_per_fu": 0.000, "lattice_angstrom": [[5.642, -5.784, 0.000], [5.642, 5.784, 0.000], [-2.476, 0.000, 5.557]], "species": ["La", "La", "Sm", "Sm", "Tm", "Tm", "Tm", "Tm", "Tm", "Tm", "Tm"], "fractional_positions": [[0.102, 0.102, 0.313], [0.898, 0.898, 0.687], [0.291, 0.709, 0.000], [0.709, 0.291, 0.000], [0.088, 0.566, 0.321], [0.271, 0.271, 0.927], [0.434, 0.912, 0.679], [0.500, 0.500, 0.500], [0.566, 0.088, 0.321], [0.729, 0.729, 0.073], [0.912, 0.434, 0.679]]}



2.
{"formula": "TbDy3Sb2", "functional": "GGA-PBE", "state": "relaxed", "e_form_raw_ev_per_atom": -0.795, "e_above_lowest_polymorph_ev_per_fu": 0.000, "lattice_angstrom": [[4.474, 0.000, 0.000], [0.000, 4.474, 0.000], [0.000, 0.000, 8.481]], "species": ["Tb", "Dy", "Dy", "Dy", "Sb", "Sb"], "fractional_positions": [[0.000, 0.000, 0.000], [0.000, 0.500, 0.351], [0.500, 0.000, 0.649], [0.500, 0.500, 0.000], [0.000, 0.500, 0.719], [0.500, 0.000, 0.281]]}